[1]
PaGa9Fe3 | Alexandria via LeMat-Bulk | PBE | optimized geometry; formation enthalpy at 0 K = -2.31 eV per formula unit; calculated volume = 15.39 Å³/atom; total energy = -64.4 eV/f.u.
1.0
-4.4430 -1.5128 1.9659
-3.1903 -4.1934 -4.1774
0.6369 -5.6303 3.6925
Fe Ga Pa
3 9 1
Direct
0.0000 0.0000 0.5000
0.5000 0.0000 0.5000
0.5000 0.5000 0.0000
0.0046 0.6598 0.3578
0.9954 0.3402 0.6422
0.6376 0.3402 0.3578
0.7058 0.7907 0.7813
0.2942 0.2093 0.2187
0.3624 0.6598 0.6422
0.4872 0.7907 0.2187
0.5128 0.2093 0.7813
0.0000 0.5000 0.0000
0.0000 0.0000 0.0000

=====

[2]
Pa4Ga5Fe2 | Alexandria via LeMat-Bulk | PBE | optimized geometry; formation enthalpy at 0 K = -3.43 eV per formula unit; calculated volume = 19.80 Å³/atom; total energy = -73.5 eV/f.u.
1.0
3.3775 0.0000 0.0000
0.0000 7.1561 0.0498
0.0000 -0.6276 9.0069
Fe Ga Pa
2 5 4
Direct
0.0000 0.0895 0.6453
0.0000 0.9105 0.3547
0.0000 0.5000 0.0000
0.0000 0.4551 0.6929
0.0000 0.8093 0.8380
0.0000 0.5449 0.3071
0.0000 0.1907 0.1620
0.5000 0.2349 0.4503
0.5000 0.7651 0.5497
0.5000 0.1655 0.8628
0.5000 0.8345 0.1372

=====

Repeat the first record exactly.
PaGa9Fe3 | Alexandria via LeMat-Bulk | PBE | optimized geometry; formation enthalpy at 0 K = -2.31 eV per formula unit; calculated volume = 15.39 Å³/atom; total energy = -64.4 eV/f.u.
1.0
-4.4430 -1.5128 1.9659
-3.1903 -4.1934 -4.1774
0.6369 -5.6303 3.6925
Fe Ga Pa
3 9 1
Direct
0.0000 0.0000 0.5000
0.5000 0.0000 0.5000
0.5000 0.5000 0.0000
0.0046 0.6598 0.3578
0.9954 0.3402 0.6422
0.6376 0.3402 0.3578
0.7058 0.7907 0.7813
0.2942 0.2093 0.2187
0.3624 0.6598 0.6422
0.4872 0.7907 0.2187
0.5128 0.2093 0.7813
0.0000 0.5000 0.0000
0.0000 0.0000 0.0000